## BaYMo2 (GGA-PBE)

Data for a geometry-optimized BaYMo2 structure.

Properties
Relative energy among the computed polymorphs, eV per atom: 0.841
Calculated formation energy, eV per atom: 1.2749

Geometry as POSCAR:
```
BaYMo2
1.0
0.000 3.664 3.664
3.664 0.000 3.664
3.664 3.664 0.000
Ba Y Mo
1 1 2
direct
0.000 0.000 0.000
0.500 0.500 0.500
0.250 0.250 0.250
0.750 0.750 0.750
```

=====

## TmPd6Pt (GGA-PBE)

Data for a geometry-optimized TmPd6Pt structure.

Properties
Relative energy among the computed polymorphs, eV per atom: 0.000
Calculated formation energy, eV per atom: -0.4430

Geometry as POSCAR:
```
TmPd6Pt
1.0
5.645 0.000 0.000
0.000 5.645 0.000
0.000 0.000 4.094
Tm Pd Pt
1 6 1
direct
0.000 0.000 0.000
0.000 0.500 0.000
0.255 0.255 0.500
0.255 0.745 0.500
0.500 0.000 0.000
0.745 0.255 0.500
0.745 0.745 0.500
0.500 0.500 0.000
```

=====

## BaSr2NbSn (GGA-PBE)

Data for a geometry-optimized BaSr2NbSn structure.

Properties
Calculated formation energy, eV per atom: 1.2611

Geometry as POSCAR:
```
BaSr2NbSn
1.0
6.158 0.000 0.000
0.000 6.158 0.000
0.000 0.000 5.225
Ba Sr Nb Sn
1 2 1 1
direct
0.000 0.000 0.000
0.000 0.500 0.000
0.500 0.000 0.000
0.000 0.000 0.500
0.500 0.500 0.500
```

=====

## CrAu3Se (GGA-PBE)

Data for a geometry-optimized CrAu3Se structure.

Properties
Relative energy among the computed polymorphs, eV per atom: 0.000
ΔE_f (raw), eV/atom: 0.790

Geometry as POSCAR:
```
CrAu3Se
1.0
5.002 0.000 0.000
0.000 5.002 0.000
0.000 0.000 5.002
Cr Au Se
1 3 1
direct
0.000 0.000 0.000
0.000 0.500 0.500
0.500 0.000 0.500
0.500 0.500 0.000
0.500 0.500 0.500
```

=====

## Cu2HPd6 (GGA-PBE)

Data for a geometry-optimized Cu2HPd6 structure.

Properties
Relative energy among the computed polymorphs, eV per atom: 0.109

Geometry as POSCAR:
```
Cu2HPd6
1.0
5.916 -5.043 0.000
5.916 5.043 0.000
-1.691 0.000 4.148
Cu H Pd
4 2 12
direct
0.123 0.259 0.192
0.259 0.123 0.692
0.741 0.877 0.308
0.877 0.741 0.808
0.288 0.712 0.750
0.712 0.288 0.250
0.075 0.807 0.440
0.126 0.485 0.807
0.193 0.925 0.060
0.325 0.519 0.421
0.481 0.675 0.079
0.485 0.126 0.307
0.515 0.874 0.693
0.519 0.325 0.921
0.675 0.481 0.579
0.807 0.075 0.940
0.874 0.515 0.193
0.925 0.193 0.560
```

=====

## CsAl3Ge3 (GGA-PBE)

Data for a geometry-optimized CsAl3Ge3 structure.

Properties
Relative energy among the computed polymorphs, eV per atom: 0.008
Calculated formation energy, eV per atom: -0.0179

Geometry as POSCAR:
```
CsAl3Ge3
1.0
3.510 2.026 9.623
-3.510 2.026 9.623
0.000 -4.053 9.623
Cs Al Ge
2 6 6
direct
0.167 0.167 0.167
0.833 0.833 0.833
0.020 0.696 0.362
0.304 0.638 0.980
0.362 0.020 0.696
0.638 0.980 0.304
0.696 0.362 0.020
0.980 0.304 0.638
0.074 0.398 0.727
0.273 0.926 0.602
0.398 0.727 0.074
0.602 0.273 0.926
0.727 0.074 0.398
0.926 0.602 0.273
```

=====

## Tb4YSc3S8 (GGA-PBE)

Data for a geometry-optimized Tb4YSc3S8 structure.

Properties
ΔE_f (raw), eV/atom: -1.935

Geometry as POSCAR:
```
Tb4YSc3S8
1.0
3.839 2.216 6.290
-3.839 2.216 6.290
0.000 -4.433 6.290
Tb Y Sc S
4 1 3 8
direct
0.000 0.000 0.000
0.000 0.500 0.500
0.500 0.000 0.500
0.500 0.500 0.000
0.500 0.500 0.500
0.000 0.000 0.500
0.000 0.500 0.000
0.500 0.000 0.000
0.238 0.750 0.750
0.244 0.244 0.244
0.250 0.250 0.762
0.250 0.762 0.250
0.750 0.238 0.750
0.750 0.750 0.238
0.756 0.756 0.756
0.762 0.250 0.250
```

=====

## Sr2GaAgHg (GGA-PBE)

Data for a geometry-optimized Sr2GaAgHg structure.

Properties
Calculated formation energy, eV per atom: -0.0416

Geometry as POSCAR:
```
Sr2GaAgHg
1.0
6.115 0.000 0.000
0.000 6.115 0.000
0.000 0.000 4.983
Sr Ga Ag Hg
2 1 1 1
direct
0.000 0.500 0.000
0.500 0.000 0.000
0.000 0.000 0.000
0.500 0.500 0.500
0.000 0.000 0.500
```

=====

## Ac3Si2I (GGA-PBE)

Data for a geometry-optimized Ac3Si2I structure.

Properties
Relative energy among the computed polymorphs, eV per atom: 0.125
ΔE_f (raw), eV/atom: -0.457

Geometry as POSCAR:
```
Ac3Si2I
1.0
2.536 -7.744 0.000
2.536 7.744 0.000
0.000 0.000 10.665
Ac Si I
6 4 2
direct
0.111 0.889 0.750
0.380 0.620 0.543
0.380 0.620 0.957
0.620 0.380 0.043
0.620 0.380 0.457
0.889 0.111 0.250
0.000 0.000 0.000
0.000 0.000 0.500
0.489 0.511 0.250
0.511 0.489 0.750
0.221 0.779 0.250
0.779 0.221 0.750
```

=====

## HI (GGA-PBE)

Data for a geometry-optimized HI structure.

Properties
Total energy, eV/atom: -2.41

Geometry as POSCAR:
```
HI
1.0
4.413 0.000 0.000
1.862 4.020 0.000
0.709 0.132 7.999
H I
2 2
direct
0.080 0.030 0.185
0.920 0.970 0.815
0.138 0.173 0.739
0.862 0.827 0.261
```

=====

## Pm3PrSm4Se8 (GGA-PBE)

Data for a geometry-optimized Pm3PrSm4Se8 structure.

Properties
ΔE_f (raw), eV/atom: -1.822

Geometry as POSCAR:
```
Pm3PrSm4Se8
1.0
4.195 2.422 6.851
-4.195 2.422 6.851
0.000 -4.844 6.851
Pm Pr Sm Se
3 1 4 8
direct
0.000 0.500 0.500
0.500 0.000 0.500
0.500 0.500 0.000
0.000 0.000 0.000
0.000 0.000 0.500
0.000 0.500 0.000
0.500 0.000 0.000
0.500 0.500 0.500
0.249 0.249 0.249
0.251 0.747 0.747
0.253 0.253 0.749
0.253 0.749 0.253
0.747 0.251 0.747
0.747 0.747 0.251
0.749 0.253 0.253
0.751 0.751 0.751
```

=====

## TaSBr3 (GGA-PBE)

Data for a geometry-optimized TaSBr3 structure.

Properties
Relative energy among the computed polymorphs, eV per atom: 0.934
ΔE_f (raw), eV/atom: 0.272

Geometry as POSCAR:
```
TaSBr3
1.0
5.090 0.000 0.000
0.000 5.090 0.000
0.000 0.000 5.090
Ta S Br
1 1 3
direct
0.000 0.000 0.000
0.500 0.500 0.500
0.000 0.000 0.500
0.000 0.500 0.000
0.500 0.000 0.000
```

=====

Number 1: N(E_F) 5.773 states/eV per cell. Number 2: N(E_F) 13.023 states/eV per cell. Number 3: N(E_F) 5.811 states/eV per cell. Number 4: N(E_F) 3.371 states/eV per cell. Number 5: N(E_F) 24.408 states/eV per cell. Number 6: N(E_F) 2.461 states/eV per cell. Number 7: N(E_F) 10.247 states/eV per cell. Number 8: N(E_F) 1.841 states/eV per cell. Number 9: N(E_F) 8.266 states/eV per cell. Number 10: N(E_F) 0.000 states/eV per cell. Number 11: N(E_F) 10.925 states/eV per cell. Number 12: N(E_F) 8.685 states/eV per cell.